Compound: NdCrGeO5
Source: Alexandria via LeMat-Bulk
Functional: GGA+U
Structure: relaxed

a b c (Å): 5.868 7.584 8.650
angles (deg): 90.00 90.00 90.00
Each line ends with the local moment (μB).
Element x y z (fractional)
O 0.000 0.164 0.574  -0.01
Cr 0.753 0.000 0.500  2.96
Nd 0.500 0.857 0.174  0.01
O 0.243 0.397 0.781  -0.01
Ge 0.000 0.615 0.358  0.01
O 0.000 0.836 0.426  -0.01
Ge 0.000 0.885 0.858  0.01
Ge 0.000 0.385 0.642  0.01
O 0.500 0.164 0.552  -0.02
Nd 0.500 0.143 0.826  0.01
O 0.500 0.336 0.052  -0.02
Cr 0.753 0.500 0.000  2.96
O 0.792 0.000 0.000  0.00
Nd 0.500 0.357 0.326  0.01
O 0.243 0.897 0.719  -0.01
O 0.208 0.000 0.000  0.00
O 0.757 0.603 0.219  -0.01
Cr 0.247 0.500 0.000  2.96
Nd 0.500 0.643 0.674  0.01
O 0.243 0.103 0.281  -0.01
O 0.757 0.103 0.281  -0.01
O 0.500 0.836 0.448  -0.02
O 0.243 0.603 0.219  -0.01
Ge 0.000 0.115 0.142  0.01
O 0.757 0.897 0.719  -0.01
O 0.500 0.664 0.948  -0.02
O 0.208 0.500 0.500  0.00
O 0.792 0.500 0.500  0.00
O 0.757 0.397 0.781  -0.01
O 0.000 0.664 0.926  -0.01
O 0.000 0.336 0.074  -0.01
Cr 0.247 0.000 0.500  2.96

## Properties
E above lowest polymorph   0 meV/atom
N(E_F)   0.0 states/eV per cell
Space-group type   Pbam
Calculated total energy   -7.586 eV per atom
Crystal system   orthorhombic